Record 1
The following is a DFT calculation (PBE) of a relaxed SiIr3 crystal.

Structure (POSCAR):
```
SiIr3
1.0
2.742 -4.750 0.000
2.742 4.750 0.000
0.000 0.000 4.318
Si Ir
2 6
direct
0.333 0.667 0.250
0.667 0.333 0.750
0.832 0.663 0.250
0.663 0.832 0.750
0.168 0.337 0.750
0.168 0.832 0.750
0.337 0.168 0.250
0.832 0.168 0.250
```

Properties
The crystal system is hexagonal. The magnetization comes out at 0.00 μB per cell. The value obtained for the uncorrected formation energy is -0.12 eV per atom. For the total DFT energy (no corrections), the calculation gives -8.119 eV/atom.

Record 2
The following is a DFT calculation (PBE) of a relaxed Si3Ir crystal.

Structure (POSCAR):
```
Si3Ir
1.0
3.830 0.000 0.000
0.000 3.830 0.000
0.000 0.000 3.830
Si Ir
3 1
direct
0.500 0.500 0.000
0.500 0.000 0.500
0.000 0.500 0.500
0.000 0.000 0.000
```

Properties
The crystal system is cubic. The magnetization comes out at 0.00 μB per cell. The value obtained for the uncorrected formation energy is 0.28 eV per atom. For the total DFT energy (no corrections), the calculation gives -5.999 eV/atom.

Record 3
The following is a DFT calculation (PBE) of a relaxed Si4Ir3 crystal.

Structure (POSCAR):
```
Si4Ir3
1.0
2.679 -4.641 0.000
2.679 4.641 0.000
0.000 0.000 4.196
Ir Si
3 4
direct
0.500 0.000 0.000
0.000 0.500 0.000
0.500 0.500 0.000
0.000 0.000 0.244
0.000 0.000 0.756
0.667 0.333 0.500
0.333 0.667 0.500
```

Properties
The crystal system is hexagonal. The magnetization comes out at 0.00 μB per cell. The value obtained for the uncorrected formation energy is 0.14 eV per atom. For the total DFT energy (no corrections), the calculation gives -6.758 eV/atom.

Record 4
The following is a DFT calculation (PBE) of a relaxed Si2Ir crystal.

Structure (POSCAR):
```
Si2Ir
1.0
-4.671 -2.422 -2.170
-3.553 -4.433 -0.345
-5.171 0.219 3.408
Si Ir
4 2
direct
0.567 0.567 0.208
0.433 0.433 0.792
0.812 0.812 0.167
0.188 0.188 0.833
0.126 0.126 0.511
0.874 0.874 0.489
```

Properties
The crystal system is monoclinic. The magnetization comes out at 0.00 μB per cell. The value obtained for the uncorrected formation energy is -0.16 eV per atom. For the total DFT energy (no corrections), the calculation gives -6.727 eV/atom.

Record 5
The following is a DFT calculation (PBE) of a relaxed Si7Ir6 crystal.

Structure (POSCAR):
```
Si7Ir6
1.0
-3.155 -7.614 -3.906
-2.826 -8.623 0.911
-6.707 -6.124 -0.826
Ir Si
6 7
direct
0.942 0.942 0.942
0.177 0.177 0.177
0.678 0.678 0.678
0.058 0.058 0.058
0.823 0.823 0.823
0.322 0.322 0.322
0.580 0.091 0.580
0.909 0.420 0.420
0.420 0.909 0.420
0.091 0.580 0.580
0.580 0.580 0.091
0.500 0.500 0.500
0.420 0.420 0.909
```

Properties
The crystal system is trigonal. The magnetization comes out at 0.00 μB per cell. The value obtained for the uncorrected formation energy is -0.08 eV per atom. For the total DFT energy (no corrections), the calculation gives -7.087 eV/atom.

Record 6
The following is a DFT calculation (PBE) of a relaxed Si2Ir crystal.

Structure (POSCAR):
```
Si2Ir
1.0
-0.985 2.206 -5.828
-1.900 -2.722 5.365
-1.041 4.227 1.776
Ir Si
2 4
direct
0.801 0.199 0.750
0.199 0.801 0.250
0.463 0.537 0.750
0.537 0.463 0.250
0.866 0.134 0.250
0.134 0.866 0.750
```

Properties
The crystal system is orthorhombic. The magnetization comes out at 0.00 μB per cell. The value obtained for the uncorrected formation energy is -0.26 eV per atom. For the total DFT energy (no corrections), the calculation gives -6.830 eV/atom.

Record 7
The following is a DFT calculation (PBE) of a relaxed Si3Ir crystal.

Structure (POSCAR):
```
Si3Ir
1.0
2.386 -4.132 0.000
2.386 4.132 0.000
0.000 0.000 6.410
Si Ir
6 2
direct
0.167 0.833 0.582
0.833 0.167 0.082
0.167 0.334 0.582
0.833 0.666 0.082
0.666 0.833 0.582
0.334 0.167 0.082
0.667 0.333 0.754
0.333 0.667 0.254
```

Properties
The crystal system is hexagonal. The magnetization comes out at 0.00 μB per cell. The value obtained for the uncorrected formation energy is 0.08 eV per atom. For the total DFT energy (no corrections), the calculation gives -6.207 eV/atom.

Record 8
The following is a DFT calculation (PBE) of a relaxed Si2Ir crystal.

Structure (POSCAR):
```
Si2Ir
1.0
2.478 -4.140 -0.394
-2.300 0.317 4.248
-3.304 0.141 -3.536
Ir Si
2 4
direct
0.750 0.750 0.000
0.250 0.250 0.000
0.148 0.648 0.795
0.352 0.148 0.500
0.852 0.352 0.205
0.648 0.852 0.500
```

Properties
The crystal system is tetragonal. The magnetization comes out at 0.00 μB per cell. The value obtained for the uncorrected formation energy is -0.37 eV per atom. For the total DFT energy (no corrections), the calculation gives -6.944 eV/atom.

Record 9
The following is a DFT calculation (PBE) of a relaxed SiIr2 crystal.

Structure (POSCAR):
```
SiIr2
1.0
-3.289 1.703 -1.952
3.191 -1.541 -2.230
-2.467 -4.916 -0.134
Si Ir
2 4
direct
0.333 0.667 0.750
0.667 0.333 0.250
0.000 0.000 0.500
0.667 0.333 0.750
0.000 0.000 0.000
0.333 0.667 0.250
```

Properties
The crystal system is hexagonal. The magnetization comes out at 0.00 μB per cell. The value obtained for the uncorrected formation energy is -0.31 eV per atom. For the total DFT energy (no corrections), the calculation gives -8.027 eV/atom.

Record 10
The following is a DFT calculation (PBE) of a relaxed SiIr2 crystal.

Structure (POSCAR):
```
SiIr2
1.0
4.010 0.000 0.000
0.000 4.010 0.000
0.000 0.000 2.846
Ir Si
2 1
direct
0.000 0.500 0.500
0.500 0.000 0.500
0.000 0.000 0.000
```

Properties
The crystal system is tetragonal. The magnetization comes out at 0.00 μB per cell. The value obtained for the uncorrected formation energy is -0.18 eV per atom. For the total DFT energy (no corrections), the calculation gives -7.894 eV/atom.

Record 11
The following is a DFT calculation (PBE) of a relaxed Si5Ir4 crystal.

Structure (POSCAR):
```
Si5Ir4
1.0
3.649 0.000 0.000
0.000 5.940 0.004
0.000 2.176 12.265
Ir Si
8 10
direct
0.250 0.896 0.273
0.750 0.293 0.269
0.250 0.707 0.731
0.250 0.700 0.501
0.250 0.783 0.049
0.750 0.217 0.951
0.750 0.300 0.499
0.750 0.104 0.727
0.750 0.891 0.575
0.750 0.469 0.775
0.250 0.505 0.922
0.250 0.356 0.637
0.250 0.531 0.225
0.250 0.109 0.425
0.750 0.495 0.078
0.750 0.026 0.141
0.750 0.644 0.363
0.250 0.974 0.859
```

Properties
The crystal system is monoclinic. The magnetization comes out at 0.00 μB per cell. The value obtained for the uncorrected formation energy is -0.67 eV per atom. For the total DFT energy (no corrections), the calculation gives -7.620 eV/atom.

Record 12
The following is a DFT calculation (PBE) of a relaxed SiIr2 crystal.

Structure (POSCAR):
```
SiIr2
1.0
1.433 -6.875 0.000
1.433 6.875 0.000
0.000 0.000 4.268
Si Ir
2 4
direct
0.077 0.923 0.250
0.923 0.077 0.750
0.714 0.286 0.250
0.286 0.714 0.750
0.430 0.570 0.250
0.570 0.430 0.750
```

Properties
The crystal system is orthorhombic. The magnetization comes out at 0.00 μB per cell. The value obtained for the uncorrected formation energy is -0.38 eV per atom. For the total DFT energy (no corrections), the calculation gives -8.091 eV/atom.

Record 13
The following is a DFT calculation (PBE) of a relaxed Si3Ir crystal.

Structure (POSCAR):
```
Si3Ir
1.0
3.012 0.000 0.000
-1.506 2.609 0.000
0.000 0.000 7.441
Ir Si
1 3
direct
0.000 0.000 0.000
0.667 0.333 0.242
0.667 0.333 0.758
0.000 0.000 0.500
```

Properties
The crystal system is hexagonal. The magnetization comes out at 0.00 μB per cell. The value obtained for the uncorrected formation energy is 0.08 eV per atom. For the total DFT energy (no corrections), the calculation gives -6.199 eV/atom.

Record 14
The following is a DFT calculation (PBE) of a relaxed Si2Ir crystal.

Structure (POSCAR):
```
Si2Ir
1.0
-1.037 2.956 2.559
-1.104 -0.898 3.787
2.431 0.943 3.093
Ir Si
1 2
direct
0.000 0.000 0.000
0.750 0.750 0.750
0.250 0.250 0.250
```

Properties
The crystal system is cubic. The magnetization comes out at 0.00 μB per cell. The value obtained for the uncorrected formation energy is -0.51 eV per atom. For the total DFT energy (no corrections), the calculation gives -7.080 eV/atom.

Record 15
The following is a DFT calculation (PBE) of a relaxed SiIr3 crystal.

Structure (POSCAR):
```
SiIr3
1.0
2.820 0.000 0.000
0.000 2.820 0.000
0.000 0.000 7.014
Ir Si
3 1
direct
0.000 0.000 0.966
0.000 0.000 0.534
0.500 0.500 0.250
0.500 0.500 0.750
```

Properties
The crystal system is tetragonal. The magnetization comes out at 0.00 μB per cell. The value obtained for the uncorrected formation energy is -0.17 eV per atom. For the total DFT energy (no corrections), the calculation gives -8.175 eV/atom.

Record 16
The following is a DFT calculation (PBE) of a relaxed SiIr2 crystal.

Structure (POSCAR):
```
SiIr2
1.0
1.400 5.509 0.014
-1.400 5.509 0.014
0.000 1.078 5.465
Si Ir
2 4
direct
0.719 0.719 0.046
0.023 0.023 0.456
0.671 0.671 0.616
0.337 0.337 0.277
0.036 0.036 0.021
0.381 0.381 0.752
```

Properties
The crystal system is monoclinic. The magnetization comes out at 0.00 μB per cell. The value obtained for the uncorrected formation energy is -0.39 eV per atom. For the total DFT energy (no corrections), the calculation gives -8.102 eV/atom.

Record 17
The following is a DFT calculation (PBE) of a relaxed SiIr3 crystal.

Structure (POSCAR):
```
SiIr3
1.0
4.997 0.002 0.007
-2.237 4.469 0.007
-2.237 -3.624 2.615
Ir Si
3 1
direct
0.000 0.000 0.000
0.500 0.500 0.000
0.500 0.000 0.500
0.000 0.500 0.500
```

Properties
The crystal system is trigonal. The magnetization comes out at 0.00 μB per cell. The value obtained for the uncorrected formation energy is 0.29 eV per atom. For the total DFT energy (no corrections), the calculation gives -7.712 eV/atom.

Record 18
The following is a DFT calculation (PBE) of a relaxed Si3Ir5 crystal.

Structure (POSCAR):
```
Si3Ir5
1.0
6.954 0.028 -0.017
-4.640 5.185 -0.008
-1.173 -2.630 6.362
Si Ir
6 10
direct
0.087 0.588 0.838
0.249 0.087 0.498
0.747 0.248 0.160
0.785 0.785 0.000
0.284 0.285 0.000
0.587 0.749 0.498
0.611 0.329 0.847
0.113 0.269 0.281
0.826 0.110 0.848
0.768 0.613 0.281
0.327 0.475 0.718
0.690 0.189 0.498
0.196 0.697 0.511
0.977 0.830 0.719
0.263 0.984 0.151
0.484 0.763 0.150
```

Properties
The crystal system is triclinic. The magnetization comes out at 0.00 μB per cell. The value obtained for the uncorrected formation energy is -0.41 eV per atom. For the total DFT energy (no corrections), the calculation gives -7.978 eV/atom.

Record 19
The following is a DFT calculation (PBE) of a relaxed SiIr2 crystal.

Structure (POSCAR):
```
SiIr2
1.0
-2.444 -10.663 4.980
2.672 -11.193 3.474
0.684 11.858 -1.844
Si Ir
4 8
direct
0.076 0.076 0.000
0.326 0.826 0.500
0.174 0.674 0.500
0.924 0.924 0.000
0.415 0.415 0.000
0.665 0.165 0.500
0.249 0.249 0.000
0.001 0.501 0.500
0.585 0.585 0.000
0.835 0.335 0.500
0.751 0.751 0.000
0.499 0.999 0.500
```

Properties
The crystal system is tetragonal. The magnetization comes out at 0.00 μB per cell. The value obtained for the uncorrected formation energy is -0.17 eV per atom. For the total DFT energy (no corrections), the calculation gives -7.884 eV/atom.

Record 20
The following is a DFT calculation (PBE) of a relaxed Si5Ir3 crystal.

Structure (POSCAR):
```
Si5Ir3
1.0
-3.639 -3.491 -5.597
5.975 -3.266 3.222
-2.834 -2.085 3.143
Si Ir
10 6
direct
0.000 0.262 0.250
0.333 0.667 0.500
0.667 0.333 0.500
0.738 0.738 0.250
0.667 0.333 0.000
0.000 0.738 0.750
0.738 0.000 0.750
0.262 0.262 0.750
0.262 0.000 0.250
0.333 0.667 0.000
0.000 0.631 0.250
0.631 0.631 0.750
0.369 0.000 0.750
0.631 0.000 0.250
0.369 0.369 0.250
0.000 0.369 0.750
```

Properties
The crystal system is hexagonal. The magnetization comes out at 0.00 μB per cell. The value obtained for the uncorrected formation energy is -0.15 eV per atom. For the total DFT energy (no corrections), the calculation gives -6.867 eV/atom.

Record 21
The following is a DFT calculation (PBE) of a relaxed SiIr3 crystal.

Structure (POSCAR):
```
SiIr3
1.0
-3.302 -1.740 -1.284
1.060 -2.522 0.691
-1.441 -0.996 5.054
Ir Si
3 1
direct
0.000 0.120 0.013
0.000 0.380 0.487
0.500 0.750 0.750
0.500 0.250 0.250
```

Properties
The crystal system is monoclinic. The magnetization comes out at 0.00 μB per cell. The value obtained for the uncorrected formation energy is -0.17 eV per atom. For the total DFT energy (no corrections), the calculation gives -8.171 eV/atom.

Record 22
The following is a DFT calculation (PBE) of a relaxed Si3Ir crystal.

Structure (POSCAR):
```
Si3Ir
1.0
-0.376 -2.517 -3.644
-0.041 -4.022 1.892
-2.654 3.397 1.084
Ir Si
1 3
direct
0.000 0.000 0.000
0.500 0.500 0.000
0.250 0.750 0.500
0.750 0.250 0.500
```

Properties
The crystal system is tetragonal. The magnetization comes out at 0.00 μB per cell. The value obtained for the uncorrected formation energy is 0.15 eV per atom. For the total DFT energy (no corrections), the calculation gives -6.134 eV/atom.

Record 23
The following is a DFT calculation (PBE) of a relaxed Si2Ir3 crystal.

Structure (POSCAR):
```
Si2Ir3
1.0
2.849 0.000 -0.635
-0.141 2.845 -0.635
0.356 0.374 8.308
Ir Si
3 2
direct
0.818 0.818 0.637
0.000 0.000 0.000
0.182 0.182 0.363
0.399 0.399 0.797
0.601 0.601 0.203
```

Properties
The crystal system is tetragonal. The magnetization comes out at 0.00 μB per cell. The value obtained for the uncorrected formation energy is -0.40 eV per atom. For the total DFT energy (no corrections), the calculation gives -7.885 eV/atom.

Record 24
The following is a DFT calculation (PBE) of a relaxed Si3Ir crystal.

Structure (POSCAR):
```
Si3Ir
1.0
-2.001 2.709 3.081
-3.541 0.591 -2.819
-1.238 -2.167 1.101
Si Ir
3 1
direct
0.500 0.500 0.000
0.500 0.000 0.500
0.000 0.500 0.500
0.000 0.000 0.000
```

Properties
The crystal system is tetragonal. The magnetization comes out at 0.00 μB per cell. The value obtained for the uncorrected formation energy is 0.25 eV per atom. For the total DFT energy (no corrections), the calculation gives -6.031 eV/atom.

Record 25
The following is a DFT calculation (PBE) of a relaxed SiIr2 crystal.

Structure (POSCAR):
```
SiIr2
1.0
-0.902 -0.450 4.684
-0.256 4.425 -1.819
-3.375 -2.551 -2.248
Ir Si
4 2
direct
0.835 0.335 0.169
0.335 0.165 0.500
0.665 0.835 0.500
0.165 0.665 0.831
0.250 0.250 0.000
0.750 0.750 0.000
```

Properties
The crystal system is tetragonal. The magnetization comes out at 0.00 μB per cell. The value obtained for the uncorrected formation energy is -0.21 eV per atom. For the total DFT energy (no corrections), the calculation gives -7.924 eV/atom.

Record 26
The following is a DFT calculation (PBE) of a relaxed SiIr3 crystal.

Structure (POSCAR):
```
SiIr3
1.0
4.633 -0.002 0.000
1.376 4.423 0.000
-3.005 -2.211 2.747
Ir Si
3 1
direct
0.250 0.750 0.500
0.750 0.250 0.500
0.500 0.500 0.000
0.000 0.000 0.000
```

Properties
The crystal system is tetragonal. The magnetization comes out at 0.00 μB per cell. The value obtained for the uncorrected formation energy is -0.11 eV per atom. For the total DFT energy (no corrections), the calculation gives -8.108 eV/atom.